First-principles (GGA+U) data for an optimized crystal structure of Na6MnO4, as listed in Alexandria.

Unit cell a=7.5831 b=7.5831 c=5.5170 alpha=90.00 beta=90.00 gamma=90.00
Atoms (fractional coordinates):
Na 0.0366 0.5366 0.2500
Na 0.0366 0.9634 0.2500
Na 0.2500 0.2500 0.1686
Na 0.2500 0.2500 0.6686
Na 0.4634 0.5366 0.2500
Na 0.4634 0.9634 0.2500
Na 0.5366 0.0366 0.7500
Na 0.5366 0.4634 0.7500
Na 0.7500 0.7500 0.3314
Na 0.7500 0.7500 0.8314
Na 0.9634 0.0366 0.7500
Na 0.9634 0.4634 0.7500
Mn 0.2500 0.7500 0.7500
Mn 0.7500 0.2500 0.2500
O 0.0016 0.7500 0.5625
O 0.2500 0.5016 0.9375
O 0.2500 0.9984 0.9375
O 0.4984 0.7500 0.5625
O 0.5016 0.2500 0.4375
O 0.7500 0.0016 0.0625
O 0.7500 0.4984 0.0625
O 0.9984 0.2500 0.4375

Results
As for the total magnetization: 5.0 μB per formula unit. As for the theoretical density: 2.69 g/cm³. For the energy relative to the lowest polymorph listed for this composition, the calculation gives 0 meV/atom.